# Hg5Br meta-GGA SCAN single point on PBEsol structure
# **N(E_F)**: 0.2537 states/eV/atom
# **Density**: 11.58 g/cm³
# **Total magnetization**: 0.00 μB/cell
# **V**: 310.5 Å³ per cell
# **Formation energy (no corrections)**: -103 meV/atom
# **E above lowest polymorph**: 0.000 eV per atom
# **Raw total energy**: -721.8 eV per cell
data_Hg5Br
_chemical_formula_sum 'Hg10 Br2'
_space_group_name_H-M_alt 'C 1 m 1'
_space_group_IT_number 8
_space_group_name_Hall 'C -2y'
_cell_length_a 12.447
_cell_length_b 4.100
_cell_length_c 6.257
_cell_angle_alpha 90.00
_cell_angle_beta 103.50
_cell_angle_gamma 90.00
loop_
_atom_site_label
_atom_site_type_symbol
_atom_site_fract_x
_atom_site_fract_y
_atom_site_fract_z
Hg1 Hg 0.000 0.000 0.000
Hg2 Hg 0.019 0.000 0.521
Hg3 Hg 0.141 0.500 0.309
Hg4 Hg 0.159 0.500 0.830
Hg5 Hg 0.330 0.000 0.915
Br1 Br 0.330 0.000 0.415